(1)
Material: Ac2CeI
Method: DFT, PBE
State: optimized geometry

abc: 12.9168 12.9168 12.9168
angles: 17.05 17.05 17.05
Atoms (fractional coordinates):
Ac  0.0946  0.0946  0.0946
Ac  0.9054  0.9054  0.9054
Ce  0.0000  0.0000  0.0000
I  0.5000  0.5000  0.5000

Total moment in μB/f.u.: 2.05
Formation energy (no corrections) in meV/atom: -84



(2)
Material: AlP2Pt
Method: DFT, PBE
State: optimized geometry

abc: 3.0102 3.0102 6.9002
angles: 90.00 90.00 102.80
Atoms (fractional coordinates):
Al  0.0000  0.0000  0.0000
P  0.5000  0.5000  0.2514
P  0.5000  0.5000  0.7486
Pt  0.0000  0.0000  0.5000

Total moment in μB/f.u.: 0.00
DFT formation energy in eV per atom: 0.150



(3)
Material: PrDy2TaN4
Method: DFT, PBE
State: optimized geometry

abc: 6.2784 6.2784 12.1297
angles: 90.00 90.00 148.33
Atoms (fractional coordinates):
Pr  0.0961  0.9039  0.7500
Pr  0.9039  0.0961  0.2500
Dy  0.3709  0.6291  0.5341
Dy  0.3709  0.6291  0.9659
Dy  0.6291  0.3709  0.0341
Dy  0.6291  0.3709  0.4659
Ta  0.1642  0.8358  0.2500
Ta  0.8358  0.1642  0.7500
N  0.0000  0.0000  0.0000
N  0.0000  0.0000  0.5000
N  0.2595  0.7405  0.1208
N  0.2595  0.7405  0.3792
N  0.4357  0.5643  0.7500
N  0.5643  0.4357  0.2500
N  0.7405  0.2595  0.6208
N  0.7405  0.2595  0.8792

Total moment in μB/f.u.: 0.00
Formation energy (no corrections) in meV/atom: -1289



(4)
Material: TaReIr3
Method: DFT, PBE
State: optimized geometry

abc: 4.6788 4.6788 4.6788
angles: 90.00 90.00 90.00
Atoms (fractional coordinates):
Ta  0.0000  0.0000  0.0000
Re  0.5000  0.5000  0.5000
Ir  0.0000  0.5000  0.5000
Ir  0.5000  0.0000  0.5000
Ir  0.5000  0.5000  0.0000

Total moment in μB/f.u.: 0.00
DFT formation energy in eV per atom: 1.744



(5)
Material: TbSn4Rh5
Method: DFT, PBE
State: optimized geometry

abc: 7.7248 9.2998 5.5761
angles: 90.00 90.00 90.00
Atoms (fractional coordinates):
Tb  0.2500  0.2500  0.0087
Tb  0.7500  0.7500  0.9913
Sn  0.0360  0.2500  0.4961
Sn  0.2500  0.5841  0.8539
Sn  0.2500  0.9159  0.8539
Sn  0.4640  0.2500  0.4961
Sn  0.5360  0.7500  0.5039
Sn  0.7500  0.0841  0.1461
Sn  0.7500  0.4159  0.1461
Sn  0.9640  0.7500  0.5039
Rh  0.0558  0.5017  0.2524
Rh  0.0558  0.9983  0.2524
Rh  0.2500  0.7500  0.2423
Rh  0.4442  0.5017  0.2524
Rh  0.4442  0.9983  0.2524
Rh  0.5558  0.0017  0.7476
Rh  0.5558  0.4983  0.7476
Rh  0.7500  0.2500  0.7577
Rh  0.9442  0.0017  0.7476
Rh  0.9442  0.4983  0.7476

Total moment in μB/f.u.: 0.00
DFT formation energy in eV per atom: -0.351



(6)
Material: TbDy2HoBi5
Method: DFT, PBE
State: optimized geometry

abc: 5.3867 5.3867 11.8918
angles: 90.00 90.00 90.00
Atoms (fractional coordinates):
Tb  0.0000  0.0000  0.0000
Dy  0.5000  0.5000  0.2671
Dy  0.5000  0.5000  0.7329
Ho  0.0000  0.0000  0.5000
Bi  0.0000  0.0000  0.2466
Bi  0.0000  0.0000  0.7534
Bi  0.0000  0.5000  0.5000
Bi  0.5000  0.0000  0.5000
Bi  0.5000  0.5000  0.0000

Total moment in μB/f.u.: 0.00
DFT formation energy in eV per atom: 0.021



Summary of E in eV/cell
-16.04, -20.00, -138.90, -42.16, -121.82, -37.63
(order as listed above)
Summary of volume in Å³/f.u.
162, 61, 126, 102, 200, 345
(order as listed above)